No. 1
## GePtAuO (PBE)

Data for a relaxed GePtAuO crystal.

Lattice parameters (Å, degrees): 2.9445 2.9445 8.5742 90.00 90.00 120.00
Space group P3m1 (No. 156)
Inequivalent atoms, fractional coordinates:
1 Ge 0.0000 0.0000 0.0000 [1 per cell]
2 Pt 0.6667 0.3333 0.7819 [1 per cell]
3 Au 0.3333 0.6667 0.4985 [1 per cell]
4 O 0.3333 0.6667 0.1189 [1 per cell]

Output
As for the energy relative to the elements, uncorrected: -0.46 eV/atom. The mass density is 12.40 g/cm³.

***

No. 2
## GePtAuO (PBE)

Data for a relaxed GePtAuO crystal.

Lattice parameters (Å, degrees): 2.9390 2.9407 8.8697 80.77 80.72 60.08
Space group P1 (No. 1)
Inequivalent atoms, fractional coordinates:
1 Ge 0.0000 0.0000 0.0000 [1 per cell]
2 Pt 0.7382 0.7349 0.7849 [1 per cell]
3 Au 0.1588 0.1640 0.5049 [1 per cell]
4 O 0.2945 0.2958 0.1168 [1 per cell]

Output
As for the energy relative to the elements, uncorrected: -0.47 eV/atom. The mass density is 12.23 g/cm³.

***

No. 3
## GeRuAu2O (PBE)

Data for a relaxed GeRuAu2O crystal.

Lattice parameters (Å, degrees): 4.7823 4.7823 4.6493 90.00 90.00 90.00
Space group P4/mmm (No. 123)
Inequivalent atoms, fractional coordinates:
1 Ge 0.0000 0.0000 0.0000 [1 per cell]
2 Ru 0.0000 0.0000 0.5000 [1 per cell]
3 Au 0.0000 0.5000 0.0000 [2 per cell]
4 O 0.5000 0.5000 0.5000 [1 per cell]

Output
As for the energy relative to the elements, uncorrected: 1.26 eV/atom. The mass density is 9.11 g/cm³.

***

No. 4
## GeRuAuO2 (PBE)

Data for a relaxed GeRuAuO2 crystal.

Lattice parameters (Å, degrees): 3.7211 3.7211 5.4947 90.00 90.00 90.00
Space group P4/mmm (No. 123)
Inequivalent atoms, fractional coordinates:
1 Ge 0.0000 0.0000 0.0000 [1 per cell]
2 Ru 0.5000 0.5000 0.5000 [1 per cell]
3 Au 0.0000 0.0000 0.5000 [1 per cell]
4 O 0.0000 0.5000 0.0000 [2 per cell]

Output
As for the energy relative to the elements, uncorrected: 0.22 eV/atom. The mass density is 8.79 g/cm³.

***

No. 5
## GeSbAuO6 (PBE)

Data for a relaxed GeSbAuO6 crystal.

Lattice parameters (Å, degrees): 5.1944 5.1944 9.1931 90.00 90.00 120.00
Space group P-31c (No. 163)
Inequivalent atoms, fractional coordinates:
1 Ge 0.3333 0.6667 0.2500 [2 per cell]
2 Sb 0.3333 0.6667 0.7500 [2 per cell]
3 Au 0.0000 0.0000 0.0000 [2 per cell]
4 O 0.0125 0.3674 0.1361 [12 per cell]

Output
As for the energy relative to the elements, uncorrected: -0.92 eV/atom. The mass density is 7.53 g/cm³.

***

No. 6
## SnGeAuO2 (PBE)

Data for a relaxed SnGeAuO2 crystal.

Lattice parameters (Å, degrees): 3.9788 3.9788 5.7113 90.00 90.00 90.00
Space group P4/mmm (No. 123)
Inequivalent atoms, fractional coordinates:
1 Sn 0.0000 0.0000 0.0000 [1 per cell]
2 Ge 0.5000 0.5000 0.5000 [1 per cell]
3 Au 0.0000 0.0000 0.5000 [1 per cell]
4 O 0.0000 0.5000 0.0000 [2 per cell]

Output
As for the energy relative to the elements, uncorrected: -0.36 eV/atom. The mass density is 7.72 g/cm³.

***

No. 7
## SnGeAu2O (PBE)

Data for a relaxed SnGeAu2O crystal.

Lattice parameters (Å, degrees): 5.1637 5.1637 5.4035 90.00 90.00 90.00
Space group P4/mmm (No. 123)
Inequivalent atoms, fractional coordinates:
1 Sn 0.0000 0.0000 0.0000 [1 per cell]
2 Ge 0.0000 0.0000 0.5000 [1 per cell]
3 Au 0.0000 0.5000 0.0000 [2 per cell]
4 O 0.5000 0.5000 0.5000 [1 per cell]

Output
As for the energy relative to the elements, uncorrected: 1.05 eV/atom. The mass density is 6.93 g/cm³.

***

No. 8
## TlGeAuO2 (PBE)

Data for a relaxed TlGeAuO2 crystal.

Lattice parameters (Å, degrees): 4.1149 4.1149 5.6959 90.00 90.00 90.00
Space group P4/mmm (No. 123)
Inequivalent atoms, fractional coordinates:
1 Tl 0.0000 0.0000 0.0000 [1 per cell]
2 Ge 0.5000 0.5000 0.0000 [1 per cell]
3 Au 0.0000 0.0000 0.5000 [1 per cell]
4 O 0.0000 0.5000 0.5000 [2 per cell]

Output
As for the energy relative to the elements, uncorrected: 0.47 eV/atom. The mass density is 8.71 g/cm³.

***

No. 9
## ZnGeAu2O6 (PBE)

Data for a relaxed ZnGeAu2O6 crystal.

Lattice parameters (Å, degrees): 11.1055 9.0406 6.2880 90.00 90.07 90.00
Space group C2/c (No. 15)
Inequivalent atoms, fractional coordinates:
1 Zn 0.0000 0.1559 0.2500 [4 per cell]
2 Ge 0.0000 0.3418 0.7500 [4 per cell]
3 Au 0.2436 0.5001 0.4990 [8 per cell]
4 O 0.0024 0.2634 0.9931 [8 per cell]
5 O 0.1266 0.4800 0.7487 [8 per cell]
6 O 0.1410 0.0159 0.2508 [8 per cell]

Output
As for the energy relative to the elements, uncorrected: -0.68 eV/atom. The mass density is 6.61 g/cm³.

***

No. 10
## GeOsAu3 (PBE)

Data for a relaxed GeOsAu3 crystal.

Lattice parameters (Å, degrees): 4.7571 4.7571 4.7571 90.00 90.00 90.00
Space group Pm-3m (No. 221)
Inequivalent atoms, fractional coordinates:
1 Ge 0.0000 0.0000 0.0000 [1 per cell]
2 Os 0.5000 0.5000 0.5000 [1 per cell]
3 Au 0.0000 0.0000 0.5000 [3 per cell]

Output
The calculation puts the calculated formation energy at 1379 meV per atom. The mass density is 13.17 g/cm³.

***

No. 11
## Ge2Os2Au (PBE)

Data for a relaxed Ge2Os2Au crystal.

Lattice parameters (Å, degrees): 7.2268 7.2268 3.0106 90.00 90.00 90.00
Space group P4/mbm (No. 127)
Inequivalent atoms, fractional coordinates:
1 Ge 0.1524 0.3476 0.0000 [4 per cell]
2 Os 0.1441 0.6441 0.5000 [4 per cell]
3 Au 0.0000 0.0000 0.5000 [2 per cell]

Output
The calculation puts the calculated formation energy at 215 meV per atom. The mass density is 15.26 g/cm³.

***

No. 12
## GeOsAu (PBE)

Data for a relaxed GeOsAu crystal.

Lattice parameters (Å, degrees): 10.9137 2.9195 6.8639 90.00 110.57 90.00
Space group Cm (No. 8)
Inequivalent atoms, fractional coordinates:
1 Ge 0.0000 0.0000 0.0000 [2 per cell]
2 Ge 0.2308 0.0000 0.9098 [2 per cell]
3 Os 0.2106 0.5000 0.1990 [2 per cell]
4 Os 0.4256 0.0000 0.2446 [2 per cell]
5 Au 0.1520 0.0000 0.5175 [2 per cell]
6 Au 0.4088 0.5000 0.6058 [2 per cell]

Output
The calculation puts the calculated formation energy at 246 meV per atom. The mass density is 14.92 g/cm³.

***

Q: Which value of mass density does entry 4 give?
A: 8.79 g/cm³

***

Q: Among the records above, which one has the lowest mass density?
A: ZnGeAu2O6